(1)
VASP calculation (PBE-GGA) on crystalline YCuW2I at its relaxed geometry.

The structure in POSCAR format:
```
YCuW2I
1.0
-1.857 -0.036 -4.534
-2.362 -4.868 1.006
-4.017 2.285 1.628
I Y Cu W
1 1 1 2
Direct
0.000 0.000 0.000
0.000 0.500 0.000
0.500 0.500 0.500
0.000 0.000 0.500
0.500 0.000 0.000
```

**Size of the total moment**: 0.00 μB/f.u.
**Formation energy without anion corrections**: 2207 meV/atom

(2)
VASP calculation (PBE-GGA) on crystalline YbNdO2 at its relaxed geometry.

The structure in POSCAR format:
```
YbNdO2
1.0
-4.830 -2.136 2.986
-0.510 -5.964 -0.987
4.680 3.415 1.799
Yb Nd O
2 2 4
Direct
0.750 0.250 0.500
0.000 0.000 0.000
0.500 0.500 0.000
0.250 0.750 0.500
0.993 0.493 0.500
0.507 0.007 0.500
0.757 0.757 0.000
0.243 0.243 0.000
```

**Size of the total moment**: 0.00 μB/f.u.
**Formation energy without anion corrections**: -2792 meV/atom

(3)
VASP calculation (PBE-GGA) on crystalline RbVH at its relaxed geometry.

The structure in POSCAR format:
```
RbVH
1.0
3.405 0.000 0.000
-1.702 2.948 0.000
0.000 0.000 12.004
H Rb V
2 2 2
Direct
0.611 0.222 0.000
0.278 0.556 0.500
0.611 0.223 0.342
0.611 0.223 0.658
0.277 0.555 0.923
0.277 0.555 0.077
```

**Size of the total moment**: 0.00 μB/f.u.
**VASP energy**: -3.84 eV per atom

(4)
VASP calculation (PBE-GGA) on crystalline Sr2Li3Sb4Pd at its relaxed geometry.

The structure in POSCAR format:
```
Sr2Li3Sb4Pd
1.0
-0.491 3.711 -2.910
-4.597 0.277 1.129
2.419 6.744 8.192
Sr Li Sb Pd
2 3 4 1
Direct
0.500 0.000 0.260
0.000 0.500 0.740
0.000 0.000 0.500
0.500 0.000 0.867
0.000 0.500 0.133
0.500 0.500 0.000
0.000 0.000 0.000
0.500 0.000 0.622
0.000 0.500 0.378
0.500 0.500 0.500
```

**Size of the total moment**: 0.00 μB/f.u.
**Formation energy without anion corrections**: -715 meV/atom

(5)
VASP calculation (PBE-GGA) on crystalline Er2Si4Ni3Pd at its relaxed geometry.

The structure in POSCAR format:
```
Er2Si4Ni3Pd
1.0
3.975 0.000 0.000
0.000 3.975 0.000
0.000 0.000 9.652
Er Si Ni Pd
2 4 3 1
Direct
0.500 0.000 0.242
0.000 0.500 0.758
0.500 0.500 0.000
0.000 0.000 0.000
0.500 0.000 0.642
0.000 0.500 0.358
0.000 0.000 0.500
0.500 0.000 0.878
0.000 0.500 0.122
0.500 0.500 0.500
```

**Size of the total moment**: 0.00 μB/f.u.
**Formation energy without anion corrections**: -856 meV/atom

(6)
VASP calculation (PBE-GGA) on crystalline BaScTeN2 at its relaxed geometry.

The structure in POSCAR format:
```
BaScTeN2
1.0
4.432 0.000 0.000
0.000 4.432 0.000
0.000 0.000 6.634
Sc Te Ba N
1 1 1 2
Direct
0.500 0.500 0.500
0.000 0.000 0.500
0.000 0.000 0.000
0.000 0.500 0.000
0.500 0.000 0.000
```

**Size of the total moment**: 0.00 μB/f.u.
**Energy relative to the lowest polymorph listed for this composition**: 1242 meV per atom
**Formation energy without anion corrections**: 1138 meV/atom

Number 1: ρ 8.1 g/cm³. Number 2: ρ 9.5 g/cm³. Number 3: ρ 3.8 g/cm³. Number 4: ρ 5.4 g/cm³. Number 5: ρ 7.9 g/cm³. Number 6: ρ 4.3 g/cm³.